No. 1
Entry from the Alexandria database: an optimized crystal structure of BaY2Hf (PBE).

The structure in CIF format:
```
data_BaY2Hf
_chemical_formula_sum 'Ba4 Y8 Hf4'
_space_group_name_H-M_alt 'I -4 2 d'
_space_group_IT_number 122
_space_group_name_Hall 'I -4 2bw'
_cell_length_a 4.841
_cell_length_b 4.841
_cell_length_c 23.103
_cell_angle_alpha 90.00
_cell_angle_beta 90.00
_cell_angle_gamma 90.00
loop_
_atom_site_label
_atom_site_type_symbol
_atom_site_fract_x
_atom_site_fract_y
_atom_site_fract_z
Ba1 Ba 0.000 0.000 0.000
Y1 Y 0.229 0.250 0.625
Hf1 Hf 0.000 0.000 0.500
```

Total magnetic moment = 0.00 μB per atom
E_form = 0.8298 eV per atom
Offset from the most stable computed form = 318 meV/atom

=====

No. 2
Entry from the Alexandria database: an optimized crystal structure of Ba2YHf (PBE).

The structure in CIF format:
```
data_Ba2YHf
_chemical_formula_sum 'Ba8 Y4 Hf4'
_space_group_name_H-M_alt 'F m -3 m'
_space_group_IT_number 225
_space_group_name_Hall '-F 4 2 3'
_cell_length_a 8.427
_cell_length_b 8.427
_cell_length_c 8.427
_cell_angle_alpha 90.00
_cell_angle_beta 90.00
_cell_angle_gamma 90.00
loop_
_atom_site_label
_atom_site_type_symbol
_atom_site_fract_x
_atom_site_fract_y
_atom_site_fract_z
Ba1 Ba 0.250 0.250 0.250
Y1 Y 0.000 0.000 0.000
Hf1 Hf 0.000 0.000 0.500
```

Total magnetic moment = 0.00 μB per atom
E_form = 0.7211 eV per atom
Offset from the most stable computed form = 0 meV/atom

=====

No. 3
Entry from the Alexandria database: an optimized crystal structure of Ba3YHf (PBE).

The structure in CIF format:
```
data_Ba3YHf
_chemical_formula_sum 'Ba3 Y1 Hf1'
_space_group_name_H-M_alt 'P m -3 m'
_space_group_IT_number 221
_space_group_name_Hall '-P 4 2 3'
_cell_length_a 6.291
_cell_length_b 6.291
_cell_length_c 6.291
_cell_angle_alpha 90.00
_cell_angle_beta 90.00
_cell_angle_gamma 90.00
loop_
_atom_site_label
_atom_site_type_symbol
_atom_site_fract_x
_atom_site_fract_y
_atom_site_fract_z
Ba1 Ba 0.000 0.000 0.500
Y1 Y 0.000 0.000 0.000
Hf1 Hf 0.500 0.500 0.500
```

Total magnetic moment = 0.00 μB per atom
E_form = 1.3366 eV per atom
Offset from the most stable computed form = 394 meV/atom

=====

No. 4
Entry from the Alexandria database: an optimized crystal structure of Ba3YHf (PBE).

The structure in CIF format:
```
data_Ba3YHf
_chemical_formula_sum 'Ba3 Y1 Hf1'
_space_group_name_H-M_alt 'P m -3 m'
_space_group_IT_number 221
_space_group_name_Hall '-P 4 2 3'
_cell_length_a 6.319
_cell_length_b 6.319
_cell_length_c 6.319
_cell_angle_alpha 90.00
_cell_angle_beta 90.00
_cell_angle_gamma 90.00
loop_
_atom_site_label
_atom_site_type_symbol
_atom_site_fract_x
_atom_site_fract_y
_atom_site_fract_z
Ba1 Ba 0.000 0.000 0.500
Y1 Y 0.500 0.500 0.500
Hf1 Hf 0.000 0.000 0.000
```

Total magnetic moment = 0.00 μB per atom
E_form = 0.9425 eV per atom
Offset from the most stable computed form = 0 meV/atom

=====

offset from the most stable computed form of number 3 (Ba3YHf)?
394 meV/atom

=====

The lowest E_form belongs to which entry?
Ba2YHf